Run 1
YIn2Te2 | PBE | optimized geometry

a b c (Å): 5.9821 5.9821 8.8021
angles (deg): 90.00 90.00 90.00
Space group I4/mmm (No. 139)
Inequivalent atoms, fractional coordinates:
Y 0.0000 0.0000 0.0000 [2 per cell]
In 0.0000 0.0000 0.3430 [4 per cell]
Te 0.0000 0.5000 0.2500 [4 per cell]



Run 2
YIn2Te2 | PBE | optimized geometry

a b c (Å): 8.2930 8.2930 4.2772
angles (deg): 90.00 90.00 90.00
Space group P4/mbm (No. 127)
Inequivalent atoms, fractional coordinates:
Y 0.0000 0.0000 0.0000 [2 per cell]
In 0.1235 0.3765 0.0000 [4 per cell]
Te 0.1914 0.6914 0.5000 [4 per cell]



In terms of stability, run 1 leads; the second structure lies 0.012 eV/atom higher.



Run 1
Y4InTe | PBE | optimized geometry

a b c (Å): 9.4571 13.7835 6.7948
angles (deg): 90.00 125.04 90.00
Space group C2/c (No. 15)
Inequivalent atoms, fractional coordinates:
Y 0.1355 0.1896 0.1387 [8 per cell]
Y 0.1873 0.4350 0.2744 [8 per cell]
In 0.0000 0.3615 0.7500 [4 per cell]
Te 0.0000 0.0238 0.7500 [4 per cell]



Run 2
Y4InTe | PBE | optimized geometry

a b c (Å): 8.9797 8.9797 8.9797
angles (deg): 90.00 90.00 90.00
Space group F-43m (No. 216)
Inequivalent atoms, fractional coordinates:
Y 0.1240 0.1240 0.1240 [16 per cell]
In 0.2500 0.2500 0.7500 [4 per cell]
Te 0.0000 0.0000 0.5000 [4 per cell]



Run 3
Y4InTe | PBE | optimized geometry

a b c (Å): 7.3990 4.6840 20.9378
angles (deg): 90.00 90.00 90.00
Space group Pnma (No. 62)
Inequivalent atoms, fractional coordinates:
Y 0.0491 0.2500 0.0770 [4 per cell]
Y 0.0723 0.2500 0.3584 [4 per cell]
Y 0.0841 0.2500 0.7835 [4 per cell]
Y 0.1422 0.2500 0.5281 [4 per cell]
In 0.2175 0.2500 0.9290 [4 per cell]
Te 0.2059 0.2500 0.2154 [4 per cell]



In terms of stability, run 3 leads; the second structure lies 0.088 eV/atom higher.



Run 1
Y2InTe4 | PBE | optimized geometry

a b c (Å): 12.7998 12.7998 12.7998
angles (deg): 90.00 90.00 90.00
Space group Fd-3m (No. 227, origin choice 2)
Inequivalent atoms, fractional coordinates:
Y 0.0000 0.0000 0.0000 [16 per cell]
In 0.1250 0.1250 0.6250 [8 per cell]
Te 0.0086 0.0086 0.2414 [32 per cell]



Run 2
Y2InTe4 | PBE | optimized geometry

a b c (Å): 16.2911 4.3490 7.7415
angles (deg): 90.00 115.71 90.00
Space group C2/m (No. 12)
Inequivalent atoms, fractional coordinates:
Y 0.2395 0.0000 0.2207 [4 per cell]
In 0.0000 0.5000 0.5000 [2 per cell]
Te 0.1217 0.5000 0.9539 [4 per cell]
Te 0.1388 0.0000 0.4827 [4 per cell]



In terms of stability, run 1 leads; the second structure lies 0.022 eV/atom higher.